The following is a DFT calculation (PBE) of crystalline TiPSe2N at its relaxed geometry.

excess energy over the best structure of this formula in the dataset: 23.9 meV per atom
energy: -5.40 eV/atom
formation energy without anion corrections: 319.1 meV/atom
spin magnetization: 0.0 μB/cell
N(E_F): 5.24 states/eV per cell

Lattice parameters (Å, degrees): 4.9726 4.9726 3.2925 90.00 90.00 90.00
Last column: nearest neighbours and their distance in Å.
Fractional coordinates of all 5 atoms:
P1 0.0000 0.0000 0.0000  2 N 1.65
Ti1 0.5000 0.5000 0.5000  8 Se 2.98, 2 Ti 3.29
N1 0.0000 0.0000 0.5000  2 P 1.65
Se1 0.5000 0.0000 0.0000  2 P 2.49
Se2 0.0000 0.5000 0.0000  2 P 2.49